# 1
# Ba3IN PBE-GGA optimized geometry
data_Ba3IN
_chemical_formula_sum 'Ba12 I4 N4'
_symmetry_space_group_name_H-M 'I m m a'
_symmetry_Int_Tables_number 74
_symmetry_space_group_name_Hall '-I 2b 2'
_cell_length_a 5.039
_cell_length_b 5.521
_cell_length_c 28.469
_cell_angle_alpha 90.00
_cell_angle_beta 90.00
_cell_angle_gamma 90.00
loop_
_atom_site_label
_atom_site_type_symbol
_atom_site_fract_x
_atom_site_fract_y
_atom_site_fract_z
_atom_site_occupancy
Ba1 Ba 0.000 0.250 0.065 1
Ba2 Ba 0.000 0.250 0.312 1
Ba3 Ba 0.000 0.250 0.828 1
I1 I 0.000 0.250 0.563 1
N1 N 0.000 0.250 0.150 1
# ΔE_f (raw): -3.53 eV/f.u.
# Relative energy among the computed polymorphs: 0.025 eV per atom


# 2
# Ba4IN2 PBE-GGA optimized geometry
data_Ba4IN2
_chemical_formula_sum 'Ba8 I2 N4'
_symmetry_space_group_name_H-M 'P 1'
_symmetry_Int_Tables_number 1
_symmetry_space_group_name_Hall 'P 1'
_cell_length_a 8.147
_cell_length_b 8.398
_cell_length_c 8.513
_cell_angle_alpha 99.85
_cell_angle_beta 101.49
_cell_angle_gamma 110.52
loop_
_atom_site_label
_atom_site_type_symbol
_atom_site_fract_x
_atom_site_fract_y
_atom_site_fract_z
_atom_site_occupancy
Ba1 Ba 0.000 0.000 0.000 1
Ba2 Ba 0.012 0.350 0.404 1
Ba3 Ba 0.061 0.867 0.402 1
Ba4 Ba 0.106 0.593 0.994 1
Ba5 Ba 0.545 0.113 0.086 1
Ba6 Ba 0.567 0.922 0.419 1
Ba7 Ba 0.633 0.614 0.074 1
Ba8 Ba 0.660 0.505 0.580 1
I1 I 0.275 0.242 0.756 1
I2 I 0.368 0.751 0.722 1
N1 N 0.291 0.913 0.198 1
N2 N 0.797 0.999 0.233 1
N3 N 0.824 0.532 0.330 1
N4 N 0.845 0.671 0.886 1
# ΔE_f (raw): -4.72 eV/f.u.
# Relative energy among the computed polymorphs: 0.068 eV per atom


# 3
# BaI2N PBE-GGA optimized geometry
data_BaI2N
_chemical_formula_sum 'Ba4 I8 N4'
_symmetry_space_group_name_H-M 'F m -3 m'
_symmetry_Int_Tables_number 225
_symmetry_space_group_name_Hall '-F 4 2 3'
_cell_length_a 8.363
_cell_length_b 8.363
_cell_length_c 8.363
_cell_angle_alpha 90.00
_cell_angle_beta 90.00
_cell_angle_gamma 90.00
loop_
_atom_site_label
_atom_site_type_symbol
_atom_site_fract_x
_atom_site_fract_y
_atom_site_fract_z
_atom_site_occupancy
Ba1 Ba 0.000 0.000 0.000 1
I1 I 0.250 0.250 0.250 1
N1 N 0.000 0.000 0.500 1
# ΔE_f (raw): -0.31 eV/f.u.
# Relative energy among the computed polymorphs: 0.003 eV per atom


# 4
# Ba4IN PBE-GGA optimized geometry
data_Ba4IN
_chemical_formula_sum 'Ba16 I4 N4'
_symmetry_space_group_name_H-M 'C 1 2/c 1'
_symmetry_Int_Tables_number 15
_symmetry_space_group_name_Hall '-C 2yc'
_cell_length_a 9.493
_cell_length_b 21.644
_cell_length_c 7.458
_cell_angle_alpha 90.00
_cell_angle_beta 127.02
_cell_angle_gamma 90.00
loop_
_atom_site_label
_atom_site_type_symbol
_atom_site_fract_x
_atom_site_fract_y
_atom_site_fract_z
_atom_site_occupancy
Ba1 Ba 0.201 0.073 0.126 1
Ba2 Ba 0.211 0.187 0.717 1
I1 I 0.000 0.441 0.250 1
N1 N 0.000 0.127 0.750 1
# ΔE_f (raw): -3.73 eV/f.u.


| no. | size of the total moment (μB/atom) | DOS at the Fermi energy (states/eV per cell) | final energy (eV per formula unit) |
| --- | --- | --- | --- |
| 1 | 0.0000 | 9.5 | -19.2 |
| 2 | 0.0023 | 0.3 | -30.6 |
| 3 | 0.7500 | 0.0 | -13.7 |
| 4 | 0.0941 | 17.9 | -21.3 |